Li7Th3Ge4 | PBE | relaxed

Summary:
DOS(E_F) in states/eV per cell: 4.34
Energy of formation from the pure elements in eV per atom: -0.440

```
data_Li7Th3Ge4
_chemical_formula_sum 'Li7 Th3 Ge4'
_cell_length_a 4.537
_cell_length_b 8.432
_cell_length_c 8.432
_cell_angle_alpha 108.67
_cell_angle_beta 105.59
_cell_angle_gamma 105.59
_symmetry_space_group_name_H-M 'P 1'
_symmetry_Int_Tables_number 1
_symmetry_space_group_name_Hall 'P 1'
loop_
_atom_site_label
_atom_site_type_symbol
_atom_site_fract_x
_atom_site_fract_y
_atom_site_fract_z
Li1 Li 0.000 0.000 0.000
Li2 Li 0.153 0.493 0.813
Li3 Li 0.207 0.060 0.354
Li4 Li 0.319 0.814 0.825
Li5 Li 0.681 0.186 0.175
Li6 Li 0.793 0.940 0.646
Li7 Li 0.847 0.507 0.187
Th1 Th 0.497 0.772 0.221
Th2 Th 0.500 0.500 0.500
Th3 Th 0.503 0.228 0.779
Ge1 Ge 0.140 0.783 0.496
Ge2 Ge 0.203 0.335 0.070
Ge3 Ge 0.797 0.665 0.930
Ge4 Ge 0.860 0.217 0.504
```